The following is a DFT calculation (PBE) of a relaxed CsLiTl2 crystal.

Output
ΔE_f   -0.13 eV/atom
Fermi-level density of states   2.34 states/eV/f.u.
Total moment   0.00 μB/f.u.
Offset from the most stable computed form   0.0037 eV per atom

Lattice parameters (Å, degrees): 5.0737 5.0737 21.1911 90.00 90.00 120.00
Space group R3m (No. 160, hexagonal axes)
Unique sites:
Cs 0.0000 0.0000 0.0000 [3 per cell]
Li 0.0000 0.0000 0.8219 [3 per cell]
Tl 0.0000 0.0000 0.1953 [3 per cell]
Tl 0.0000 0.0000 0.4779 [3 per cell]